Entry from the Alexandria database: a relaxed structure of Tl2Ni2Ag (GGA-PBE).

Unit cell a=7.155 b=7.155 c=3.458 alpha=90.00 beta=90.00 gamma=90.00
Fractional positions:
1 Ag 0.000 0.000 0.000
2 Tl 0.329 0.171 0.500
3 Ni 0.626 0.126 0.000
4 Tl 0.671 0.829 0.500
5 Ag 0.500 0.500 0.000
6 Tl 0.829 0.329 0.500
7 Ni 0.126 0.374 0.000
8 Tl 0.171 0.671 0.500
9 Ni 0.874 0.626 0.000
10 Ni 0.374 0.874 0.000

Values from the calculation:
Its polymorph energy (0 for the lowest one) is 0.0000 eV per atom. The value obtained for the total energy is -3.60 eV per atom. As for the space group: P4/mbm, No. 127. The formation enthalpy at 0 K comes out at 226 meV/atom.

=====

Entry from the Alexandria database: a relaxed structure of Tl2Ni2Ag (GGA-PBE).

Unit cell a=3.399 b=3.399 c=8.738 alpha=78.78 beta=78.78 gamma=90.00
Each line ends with the local moment (μB).
Fractional positions:
1 Ni 0.250 0.750 0.500  0.15
2 Tl 0.380 0.380 0.240  0.00
3 Ag 0.000 0.000 0.000  0.00
4 Ni 0.750 0.250 0.500  0.15
5 Tl 0.620 0.620 0.760  0.00

Values from the calculation:
Its polymorph energy (0 for the lowest one) is 0.0808 eV per atom. The value obtained for the total energy is -3.52 eV per atom. As for the space group: I4/mmm, No. 139. The formation enthalpy at 0 K comes out at 307 meV/atom.

=====

Entry from the Alexandria database: a relaxed structure of Tl2NiAg (GGA-PBE).

Unit cell a=5.576 b=5.576 c=5.576 alpha=144.85 beta=120.66 gamma=70.88
Fractional positions:
1 Ni 0.250 0.750 0.500
2 Ag 0.750 0.250 0.500
3 Tl 0.026 0.026 0.000
4 Tl 0.474 0.474 0.000

Values from the calculation:
Its polymorph energy (0 for the lowest one) is 0.1405 eV per atom. The value obtained for the total energy is -2.99 eV per atom. As for the space group: Immm, No. 71. The formation enthalpy at 0 K comes out at 351 meV/atom.

=====

Entry from the Alexandria database: a relaxed structure of TlNi2Ag2 (GGA-PBE).

Unit cell a=3.830 b=3.830 c=6.611 alpha=73.16 beta=73.16 gamma=90.00
Fractional positions:
1 Ni 0.596 0.596 0.809
2 Ag 0.750 0.250 0.500
3 Ag 0.250 0.750 0.500
4 Ni 0.404 0.404 0.191
5 Tl 0.000 0.000 0.000

Values from the calculation:
Its polymorph energy (0 for the lowest one) is 0.1552 eV per atom. The value obtained for the total energy is -3.52 eV per atom. As for the space group: I4/mmm, No. 139. The formation enthalpy at 0 K comes out at 409 meV/atom.

=====

Entry from the Alexandria database: a relaxed structure of TlNiAg3 (GGA-PBE).

Unit cell a=5.239 b=5.239 c=5.239 alpha=90.00 beta=90.00 gamma=90.00
Each line ends with the local moment (μB).
Fractional positions:
1 Tl 0.000 0.000 0.000  -0.01
2 Ag 0.000 0.000 0.500  -0.01
3 Ag 0.500 0.000 0.000  -0.01
4 Ni 0.500 0.500 0.500  0.73
5 Ag 0.000 0.500 0.000  0.00

Values from the calculation:
Its polymorph energy (0 for the lowest one) is 0.6738 eV per atom. The value obtained for the total energy is -2.09 eV per atom. As for the space group: Pm-3m, No. 221. The formation enthalpy at 0 K comes out at 1249 meV/atom.

=====

Entry from the Alexandria database: a relaxed structure of TlNi2Ag2 (GGA-PBE).

Unit cell a=6.581 b=6.581 c=3.918 alpha=90.00 beta=90.00 gamma=90.00
Fractional positions:
1 Ag 0.662 0.838 0.500
2 Ag 0.838 0.338 0.500
3 Tl 0.000 0.000 0.000
4 Ni 0.127 0.373 0.000
5 Ni 0.873 0.627 0.000
6 Tl 0.500 0.500 0.000
7 Ni 0.373 0.873 0.000
8 Ni 0.627 0.127 0.000
9 Ag 0.338 0.162 0.500
10 Ag 0.162 0.662 0.500

Values from the calculation:
Its polymorph energy (0 for the lowest one) is 0.0000 eV per atom. The value obtained for the total energy is -3.67 eV per atom. As for the space group: P4/mbm, No. 127. The formation enthalpy at 0 K comes out at 254 meV/atom.

=====

Entry from the Alexandria database: a relaxed structure of Tl2NiAg2 (GGA-PBE).

Unit cell a=6.864 b=6.864 c=4.614 alpha=90.00 beta=90.00 gamma=90.00
Fractional positions:
1 Tl 0.826 0.326 0.500
2 Ag 0.855 0.645 0.000
3 Ni 0.000 0.000 0.000
4 Tl 0.326 0.174 0.500
5 Ag 0.145 0.355 0.000
6 Tl 0.174 0.674 0.500
7 Ag 0.645 0.145 0.000
8 Ni 0.500 0.500 0.000
9 Ag 0.355 0.855 0.000
10 Tl 0.674 0.826 0.500

Values from the calculation:
The value obtained for the total energy is -2.86 eV per atom. As for the space group: P4/mbm, No. 127. The formation enthalpy at 0 K comes out at 383 meV/atom.

=====

Entry from the Alexandria database: a relaxed structure of Tl2NiAg (GGA-PBE).

Unit cell a=9.118 b=9.118 c=6.939 alpha=48.93 beta=48.93 gamma=90.00
Fractional positions:
1 Tl 0.264 0.625 0.250
2 Tl 0.375 0.514 0.750
3 Tl 0.875 0.736 0.750
4 Ni 0.500 0.500 0.000
5 Ag 0.000 0.000 0.000
6 Ag 0.750 0.250 0.500
7 Tl 0.486 0.125 0.250
8 Ni 0.250 0.750 0.500

Values from the calculation:
Its polymorph energy (0 for the lowest one) is 0.1256 eV per atom. The value obtained for the total energy is -3.00 eV per atom. As for the space group: I-42d, No. 122. The formation enthalpy at 0 K comes out at 337 meV/atom.